# LuPuCuTc

An optimized crystal structure of LuPuCuTc (PBE, Alexandria via LeMat-Bulk).

abc: 6.7802 6.7802 6.7802
angles: 90.00 90.00 90.00
Atoms (fractional coordinates):
Lu 0.0000 0.0000 0.0000
Lu 0.0000 0.5000 0.5000
Lu 0.5000 0.0000 0.5000
Lu 0.5000 0.5000 0.0000
Pu 0.0000 0.0000 0.5000
Pu 0.0000 0.5000 0.0000
Pu 0.5000 0.0000 0.0000
Pu 0.5000 0.5000 0.5000
Cu 0.2500 0.2500 0.7500
Cu 0.2500 0.7500 0.2500
Cu 0.7500 0.2500 0.2500
Cu 0.7500 0.7500 0.7500
Tc 0.2500 0.2500 0.2500
Tc 0.2500 0.7500 0.7500
Tc 0.7500 0.2500 0.7500
Tc 0.7500 0.7500 0.2500

Output
**Energy relative to the elements**: -1.6 kJ per mole of atoms
**Crystal system**: cubic
**Raw total energy**: -0.61334 Ry per atom

=====

# LuPuTlCu

An optimized crystal structure of LuPuTlCu (PBE, Alexandria via LeMat-Bulk).

abc: 7.2931 7.2931 7.2931
angles: 90.00 90.00 90.00
Atoms (fractional coordinates):
Lu 0.0000 0.0000 0.0000
Lu 0.0000 0.5000 0.5000
Lu 0.5000 0.0000 0.5000
Lu 0.5000 0.5000 0.0000
Pu 0.0000 0.0000 0.5000
Pu 0.0000 0.5000 0.0000
Pu 0.5000 0.0000 0.0000
Pu 0.5000 0.5000 0.5000
Tl 0.2500 0.2500 0.7500
Tl 0.2500 0.7500 0.2500
Tl 0.7500 0.2500 0.2500
Tl 0.7500 0.7500 0.7500
Cu 0.2500 0.2500 0.2500
Cu 0.2500 0.7500 0.7500
Cu 0.7500 0.2500 0.7500
Cu 0.7500 0.7500 0.2500

Output
**Energy relative to the elements**: -1.5 kJ per mole of atoms
**Crystal system**: cubic
**Raw total energy**: -0.46633 Ry per atom

=====

# Lu2CuRe

An optimized crystal structure of Lu2CuRe (PBE, Alexandria via LeMat-Bulk).

abc: 3.3720 3.3720 6.9065
angles: 90.00 90.00 90.00
Atoms (fractional coordinates):
Lu 0.0000 0.0000 0.2375
Lu 0.0000 0.0000 0.7625
Cu 0.5000 0.5000 0.5000
Re 0.5000 0.5000 0.0000

Output
**Energy relative to the elements**: -7.3 kJ per mole of atoms
**Crystal system**: tetragonal
**Raw total energy**: -0.47571 Ry per atom

=====

# LuThCuRe

An optimized crystal structure of LuThCuRe (PBE, Alexandria via LeMat-Bulk).

abc: 6.9647 6.9647 6.9647
angles: 90.00 90.00 90.00
Atoms (fractional coordinates):
Lu 0.0000 0.0000 0.0000
Lu 0.0000 0.5000 0.5000
Lu 0.5000 0.0000 0.5000
Lu 0.5000 0.5000 0.0000
Th 0.0000 0.0000 0.5000
Th 0.0000 0.5000 0.0000
Th 0.5000 0.0000 0.0000
Th 0.5000 0.5000 0.5000
Cu 0.2500 0.2500 0.2500
Cu 0.2500 0.7500 0.7500
Cu 0.7500 0.2500 0.7500
Cu 0.7500 0.7500 0.2500
Re 0.2500 0.2500 0.7500
Re 0.2500 0.7500 0.2500
Re 0.7500 0.2500 0.2500
Re 0.7500 0.7500 0.7500

Output
**Energy relative to the elements**: -7.0 kJ per mole of atoms
**Crystal system**: cubic
**Raw total energy**: -0.52870 Ry per atom

=====

# LuTiCuRe

An optimized crystal structure of LuTiCuRe (PBE, Alexandria via LeMat-Bulk).

abc: 6.4653 6.4653 6.4653
angles: 90.00 90.00 90.00
Atoms (fractional coordinates):
Lu 0.0000 0.0000 0.0000
Lu 0.0000 0.5000 0.5000
Lu 0.5000 0.0000 0.5000
Lu 0.5000 0.5000 0.0000
Ti 0.0000 0.0000 0.5000
Ti 0.0000 0.5000 0.0000
Ti 0.5000 0.0000 0.0000
Ti 0.5000 0.5000 0.5000
Cu 0.2500 0.2500 0.7500
Cu 0.2500 0.7500 0.2500
Cu 0.7500 0.2500 0.2500
Cu 0.7500 0.7500 0.7500
Re 0.2500 0.2500 0.2500
Re 0.2500 0.7500 0.7500
Re 0.7500 0.2500 0.7500
Re 0.7500 0.7500 0.2500

Output
**Energy relative to the elements**: -9.4 kJ per mole of atoms
**Crystal system**: cubic
**Raw total energy**: -0.53931 Ry per atom

=====

# TmLuCuRe

An optimized crystal structure of TmLuCuRe (PBE, Alexandria via LeMat-Bulk).

abc: 6.7758 6.7758 6.7758
angles: 90.00 90.00 90.00
Atoms (fractional coordinates):
Tm 0.0000 0.0000 0.0000
Tm 0.0000 0.5000 0.5000
Tm 0.5000 0.0000 0.5000
Tm 0.5000 0.5000 0.0000
Lu 0.0000 0.0000 0.5000
Lu 0.0000 0.5000 0.0000
Lu 0.5000 0.0000 0.0000
Lu 0.5000 0.5000 0.5000
Cu 0.2500 0.2500 0.7500
Cu 0.2500 0.7500 0.2500
Cu 0.7500 0.2500 0.2500
Cu 0.7500 0.7500 0.7500
Re 0.2500 0.2500 0.2500
Re 0.2500 0.7500 0.7500
Re 0.7500 0.2500 0.7500
Re 0.7500 0.7500 0.2500

Output
**Energy relative to the elements**: -4.5 kJ per mole of atoms
**Crystal system**: cubic
**Raw total energy**: -0.47267 Ry per atom